## VCrSn2Bi (PBE-GGA)

Data for an optimized crystal structure of VCrSn2Bi.

Lattice parameters (Å, degrees): 5.8418 5.8418 5.1866 90.00 90.00 90.00
Space group P4/mmm (No. 123)
Unique sites:
V 0.0000 0.0000 0.0000 [1 per cell]
Cr 0.5000 0.5000 0.0000 [1 per cell]
Sn 0.0000 0.5000 0.5000 [2 per cell]
Bi 0.0000 0.0000 0.5000 [1 per cell]

Summary:
Electronic total energy   -4.712 eV per atom
Formation energy   1414 meV per atom
Total magnetic moment   7.83 μB/f.u.

---

## AcCeOs4 (PBE-GGA)

Data for an optimized crystal structure of AcCeOs4.

Lattice parameters (Å, degrees): 7.7556 7.7556 7.7556 90.00 90.00 90.00
Space group F-43m (No. 216)
Unique sites:
Ac 0.0000 0.0000 0.0000 [4 per cell]
Ce 0.2500 0.2500 0.7500 [4 per cell]
Os 0.1245 0.1245 0.3755 [16 per cell]

Summary:
Electronic total energy   -9.180 eV per atom
Formation energy   -19 meV per atom
Total magnetic moment   0.00 μB/f.u.

---

## Y2PuTl3 (PBE-GGA)

Data for an optimized crystal structure of Y2PuTl3.

Lattice parameters (Å, degrees): 3.5141 3.5141 13.3023 90.00 90.00 90.00
Space group P4/mmm (No. 123)
Unique sites:
Y 0.0000 0.0000 0.1633 [2 per cell]
Pu 0.0000 0.0000 0.5000 [1 per cell]
Tl 0.5000 0.5000 0.0000 [1 per cell]
Tl 0.5000 0.5000 0.3291 [2 per cell]

Summary:
Electronic total energy   -5.967 eV per atom
Formation energy   -241 meV per atom
Total magnetic moment   5.43 μB/f.u.

---

## Os2PtSe (PBE-GGA)

Data for an optimized crystal structure of Os2PtSe.

Lattice parameters (Å, degrees): 2.8202 2.8202 8.0556 90.00 90.00 90.00
Space group P4mm (No. 99)
Unique sites:
Os 0.0000 0.0000 0.0000 [1 per cell]
Os 0.5000 0.5000 0.2146 [1 per cell]
Pt 0.0000 0.0000 0.4567 [1 per cell]
Se 0.5000 0.5000 0.7640 [1 per cell]

Summary:
Formation energy from raw total energies   0.354 eV per atom
Electronic total energy   -7.642 eV per atom
Total magnetic moment   0.00 μB/f.u.

---

## B2C (PBE-GGA)

Data for an optimized crystal structure of B2C.

Lattice parameters (Å, degrees): 4.2888 3.6794 5.7453 90.00 110.78 90.00
Space group P2 (No. 3)
Unique sites:
B 0.0000 0.0000 0.0000 [1 per cell]
B 0.0000 0.2886 0.5000 [1 per cell]
B 0.1915 0.6757 0.8072 [2 per cell]
B 0.2144 0.4868 0.3265 [2 per cell]
B 0.3793 0.0451 0.6362 [2 per cell]
C 0.3313 0.2274 0.1419 [2 per cell]
C 0.5000 0.4650 0.0000 [1 per cell]
C 0.5000 0.7328 0.5000 [1 per cell]

Summary:
Electronic total energy   -7.092 eV per atom
Formation energy   434 meV per atom
Excess energy over the best structure of this formula in the dataset   248.8 meV per atom
Total magnetic moment   0.00 μB/f.u.

---

## KSb2TeI (PBE-GGA)

Data for an optimized crystal structure of KSb2TeI.

Lattice parameters (Å, degrees): 5.9308 5.9308 6.1237 90.00 90.00 90.00
Space group P4/mmm (No. 123)
Unique sites:
K 0.0000 0.0000 0.0000 [1 per cell]
Sb 0.0000 0.5000 0.5000 [2 per cell]
Te 0.5000 0.5000 0.0000 [1 per cell]
I 0.5000 0.5000 0.5000 [1 per cell]

Summary:
Formation energy from raw total energies   0.463 eV per atom
Electronic total energy   -2.344 eV per atom
Excess energy over the best structure of this formula in the dataset   320.2 meV per atom
Total magnetic moment   0.99 μB/f.u.

---

## KGeOF2 (PBE-GGA)

Data for an optimized crystal structure of KGeOF2.

Lattice parameters (Å, degrees): 4.4050 4.4050 3.7971 90.00 90.00 90.00
Space group P4/mmm (No. 123)
Unique sites:
K 0.0000 0.0000 0.0000 [1 per cell]
Ge 0.5000 0.5000 0.5000 [1 per cell]
O 0.5000 0.5000 0.0000 [1 per cell]
F 0.0000 0.5000 0.5000 [2 per cell]

Summary:
Formation energy from raw total energies   -2.046 eV per atom
Electronic total energy   -4.929 eV per atom
Excess energy over the best structure of this formula in the dataset   0.0 meV per atom
Total magnetic moment   0.00 μB/f.u.